[1]
Below is crystalline CaFeS2N at its relaxed geometry, with properties calculated at the PBE level.

Lattice parameters (Å, degrees): 5.2491 5.2491 4.3945 90.00 90.00 90.00
With the nearest neighbours (Å) after each atom.
Fractional coordinates of all 5 atoms:
S1 0.5000 0.0000 0.0000  2 Ca 2.62
S2 0.0000 0.5000 0.0000  2 Ca 2.62
Ca1 0.0000 0.0000 0.0000  2 N 2.20
N1 0.0000 0.0000 0.5000  2 Ca 2.20
Fe1 0.5000 0.5000 0.5000  8 S 3.42, 4 N 3.71

raw formation energy = 5.4 eV per formula unit
magnetization = 1.37 μB per atom

[2]
Below is crystalline KSc3Cu at its relaxed geometry, with properties calculated at the PBE level.

Lattice parameters (Å, degrees): 5.2117 5.2117 5.2117 90.00 90.00 90.00
With the nearest neighbours (Å) after each atom.
Fractional coordinates of all 5 atoms:
Sc1 0.0000 0.0000 0.5000  2 Cu 2.61
Sc2 0.0000 0.5000 0.0000  2 Cu 2.61
Sc3 0.5000 0.0000 0.0000  2 Cu 2.61
K1 0.5000 0.5000 0.5000  12 Sc 3.69
Cu1 0.0000 0.0000 0.0000  6 Sc 2.61

magnetization = 0.12 μB per atom
E_form = 0.3966 eV per atom

[3]
Below is crystalline TcHgI2 at its relaxed geometry, with properties calculated at the PBE level.

Lattice parameters (Å, degrees): 5.5386 5.5386 5.5386 60.00 60.00 60.00
With the nearest neighbours (Å) after each atom.
Fractional coordinates of all 4 atoms:
I1 0.7500 0.7500 0.7500  4 Hg 3.39, 4 Tc 3.39
I2 0.2500 0.2500 0.2500  4 Hg 3.39, 4 Tc 3.39
Hg1 0.5000 0.5000 0.5000  8 I 3.39
Tc1 0.0000 0.0000 0.0000  8 I 3.39

raw formation energy = 3.2 eV per formula unit
magnetization = 1.25 μB per atom